(1)
First-principles (SCAN) data for a crystal of Rb2PtC relaxed with PBEsol, as listed in the Alexandria database.

extended XYZ file:
```
8
Lattice="-6.0287 6.0287 1.9155 6.0287 -6.0287 1.9155 6.0287 6.0287 -1.9155" Properties=species:S:1:pos:R:3 pbc="T T T"
Rb 0.5283 3.0144 0.4789
Rb -3.0144 5.5005 1.4366
Rb -0.5283 9.0431 0.4789
Rb 3.0144 6.5570 1.4366
Pt 6.0287 0.0000 0.9577
Pt 0.0000 0.0000 1.9155
C 0.0000 0.0000 0.0000
C 0.0000 6.0287 0.9577
```

Values from the calculation:
DFT total energy = -30.375 eV per atom
formation energy = 0.068 eV per atom
size of the total moment = 0.0 μB per formula unit
SG = I-42d, No. 122
V = 34.81 Å³/atom
theoretical density = 4.51 g/cm³
crystal system = tetragonal

=====

(2)
First-principles (SCAN) data for a crystal of Tb6Al39Cr8 relaxed with PBEsol, as listed in the Alexandria database.

extended XYZ file:
```
106
Lattice="10.8283 0.0000 0.0000 -5.4142 9.3776 0.0000 0.0000 0.0000 17.1203" Properties=species:S:1:pos:R:3 pbc="T T T"
Tb -2.5306 4.3830 1.6662
Tb -2.5306 4.3830 6.8940
Tb -2.8836 4.9946 10.2263
Tb -2.8836 4.9946 15.4541
Tb 5.0611 0.0000 1.6662
Tb 5.0611 0.0000 6.8940
Tb 2.5306 4.3830 10.2263
Tb 2.5306 4.3830 15.4541
Tb 5.7672 0.0000 10.2263
Tb 5.7672 0.0000 15.4541
Tb 2.8836 4.9946 1.6662
Tb 2.8836 4.9946 6.8940
Al -0.8314 1.4400 1.9904
Al -0.8314 1.4400 6.5698
Al -0.8339 1.4444 12.8402
Al -1.3565 2.3496 9.0449
Al -1.3565 2.3496 16.6356
Al -4.0576 7.0280 0.4847
Al -4.0576 7.0280 8.0754
Al -4.5802 7.9332 4.2801
Al -4.5828 7.9376 10.5505
Al -4.5828 7.9376 15.1300
Al -1.3144 5.1509 4.2801
Al -1.6106 5.6639 12.8402
Al 1.6628 0.0000 1.9904
Al 1.6628 0.0000 6.5698
Al 1.6678 0.0000 12.8402
Al 0.8339 1.4444 4.2801
Al 0.8314 1.4400 10.5505
Al 0.8314 1.4400 15.1300
Al -0.3470 3.7389 11.3090
Al -0.3470 3.7389 14.3715
Al -2.3497 7.2076 2.7489
Al -2.3497 7.2076 5.8113
Al 0.3470 3.7389 2.7489
Al 0.3470 3.7389 5.8113
Al -2.0027 7.8087 11.3090
Al -2.0027 7.8087 14.3715
Al 0.0000 4.6932 0.0000
Al 0.0000 4.6932 8.5602
Al -1.3498 7.0310 0.0000
Al -1.3498 7.0310 8.5602
Al 2.7131 0.0000 9.0449
Al 2.7131 0.0000 16.6356
Al 1.3565 2.3496 0.4847
Al 1.3565 2.3496 8.0754
Al 1.3144 5.1509 12.8402
Al -0.2962 7.9405 4.2801
Al 3.4115 1.5689 11.3090
Al 3.4115 1.5689 14.3715
Al 3.0645 2.1700 2.7489
Al 3.0645 2.1700 5.8113
Al 1.6106 5.6639 4.2801
Al 0.2962 7.9405 12.8402
Al 4.0644 2.3466 0.0000
Al 4.0644 2.3466 8.5602
Al 1.3497 7.0310 0.0000
Al 1.3497 7.0310 8.5602
Al 5.1180 1.4371 4.2801
Al 3.8036 3.7137 12.8402
Al 2.3497 7.2076 11.3090
Al 2.3497 7.2076 14.3715
Al 2.0027 7.8087 2.7489
Al 2.0027 7.8087 5.8113
Al 5.7103 1.4371 12.8402
Al 4.0998 4.2267 4.2801
Al 8.1153 0.0000 0.4847
Al 8.1153 0.0000 8.0754
Al 4.0576 7.0280 9.0449
Al 4.0576 7.0280 16.6356
Al 6.7639 2.3466 0.0000
Al 6.7639 2.3466 8.5602
Al 5.4142 4.6844 0.0000
Al 5.4142 4.6844 8.5602
Al 7.4168 1.5689 2.7489
Al 7.4168 1.5689 5.8113
Al 5.0671 5.6387 11.3090
Al 5.0671 5.6387 14.3715
Al 7.7639 2.1700 11.3090
Al 7.7639 2.1700 14.3715
Al 5.7612 5.6387 2.7489
Al 5.7612 5.6387 5.8113
Al 9.1605 0.0000 4.2801
Al 9.1655 0.0000 10.5505
Al 9.1655 0.0000 15.1300
Al 4.5828 7.9376 1.9904
Al 4.5828 7.9376 6.5698
Al 4.5802 7.9332 12.8402
Al 7.0247 3.7137 4.2801
Al 6.7286 4.2267 12.8402
Cr 0.0000 0.0000 0.0000
Cr 0.0000 0.0000 8.5602
Cr -1.4011 2.4269 4.2801
Cr -4.0130 6.9507 12.8402
Cr 2.8023 0.0000 4.2801
Cr 1.4011 2.4269 12.8402
Cr 0.0000 6.2517 2.2620
Cr 0.0000 6.2517 6.2981
Cr 0.0000 6.2517 10.8222
Cr 0.0000 6.2517 14.8583
Cr 5.4142 3.1259 2.2620
Cr 5.4142 3.1259 6.2981
Cr 5.4142 3.1259 10.8222
Cr 5.4142 3.1259 14.8583
Cr 8.0260 0.0000 12.8402
Cr 4.0130 6.9507 4.2801
```

Values from the calculation:
DFT total energy = -14.111 eV per atom
formation energy = -0.338 eV per atom
size of the total moment = 12.8 μB per formula unit
SG = P6_3/mcm, No. 193
V = 16.40 Å³/atom
theoretical density = 4.63 g/cm³
crystal system = hexagonal

=====

(3)
First-principles (SCAN) data for a crystal of CaTl5 relaxed with PBEsol, as listed in the Alexandria database.

extended XYZ file:
```
6
Lattice="5.5973 -2.3245 0.0000 5.5973 2.3245 0.0000 -2.7230 0.0000 6.3138" Properties=species:S:1:pos:R:3 pbc="T T T"
Ca 0.0000 0.0000 0.0000
Tl -1.3615 0.0000 3.1569
Tl 1.8777 0.0000 4.1746
Tl 3.2726 0.0000 1.0578
Tl 5.1989 0.0000 5.2560
Tl 6.5938 0.0000 2.1392
```

Values from the calculation:
DFT total energy = -62.104 eV per atom
formation energy = -0.195 eV per atom
size of the total moment = 0.0 μB per formula unit
SG = C2/m, No. 12
V = 27.38 Å³/atom
theoretical density = 10.73 g/cm³
crystal system = monoclinic

=====

(4)
First-principles (SCAN) data for a crystal of KNaBe2 relaxed with PBEsol, as listed in the Alexandria database.

extended XYZ file:
```
8
Lattice="-2.2616 2.2616 10.1382 2.2616 -2.2616 10.1382 2.2616 2.2616 -10.1382" Properties=species:S:1:pos:R:3 pbc="T T T"
K 2.2616 1.1308 2.5345
K 0.0000 1.1308 7.6036
Na 2.2616 -1.1308 7.6036
Na 0.0000 3.3924 2.5345
Be 0.0000 0.0000 0.0000
Be 1.1308 1.1308 -5.0691
Be 1.1308 -1.1308 5.0691
Be 0.0000 2.2616 0.0000
```

Values from the calculation:
DFT total energy = -4.499 eV per atom
formation energy = 0.814 eV per atom
size of the total moment = 0.0 μB per formula unit
SG = I4_1/amd, No. 141
V = 25.93 Å³/atom
theoretical density = 1.28 g/cm³
crystal system = tetragonal

=====

(5)
First-principles (SCAN) data for a crystal of MgNiAs2O7 relaxed with PBEsol, as listed in the Alexandria database.

extended XYZ file:
```
44
Lattice="7.1530 0.0000 0.0000 0.0000 8.5043 0.0000 -3.9964 0.0000 8.7017" Properties=species:S:1:pos:R:3 pbc="T T T"
Mg 1.2374 0.5709 0.9828
Mg -0.7607 3.6812 5.3337
Mg 3.9174 4.8231 3.3680
Mg 1.9192 7.9334 7.7189
Ni -0.5025 0.5677 5.9233
Ni 1.4957 3.6844 1.5724
Ni 1.6609 4.8199 7.1293
Ni 3.6591 7.9366 2.7785
As -2.5760 6.2864 6.3747
As -0.5778 6.4701 2.0238
As 3.2744 6.1323 0.3337
As 1.2762 6.6241 4.6845
As 1.8804 1.8802 4.0172
As -0.1177 2.3720 8.3680
As 3.7344 2.0342 6.6779
As 5.7326 2.2179 2.3270
O -2.2556 5.0777 5.2305
O -0.2574 7.6788 0.8796
O 0.0568 4.9606 1.6519
O -1.9414 7.7959 6.0028
O -1.7472 2.1114 6.3047
O 0.2510 2.1407 1.9539
O -1.9704 5.6359 7.9030
O 0.0278 7.1206 3.5522
O 0.4025 2.0169 4.8629
O 2.4007 2.2353 0.5121
O 0.8054 5.1169 5.3465
O 2.8036 7.6395 0.9957
O 2.0624 0.5707 2.9453
O 0.0642 3.6815 7.2962
O 3.0924 4.8229 1.4056
O 1.0942 7.9336 5.7564
O 0.3531 0.8648 7.7060
O 2.3513 3.3874 3.3552
O 0.7560 6.2691 8.1896
O 2.7542 6.4874 3.8388
O 3.1289 1.3837 5.1496
O 5.1271 2.8684 0.7987
O 2.9057 6.3636 6.7478
O 4.9039 6.3929 2.3970
O 5.0981 0.7084 2.6989
O 3.0999 3.5438 7.0498
O 3.4140 0.8255 7.8221
O 5.4122 3.4266 3.4713
```

Values from the calculation:
formation energy (no corrections) = -163.7 kJ per mole of atoms
DFT total energy = -11.255 eV per atom
size of the total moment = 1.9 μB per formula unit
SG = P2_1/c, No. 14
V = 12.03 Å³/atom
theoretical density = 4.33 g/cm³
crystal system = monoclinic

=====

(6)
First-principles (SCAN) data for a crystal of Ba3HfF relaxed with PBEsol, as listed in the Alexandria database.

extended XYZ file:
```
5
Lattice="5.4371 0.0000 0.0000 0.0000 5.4371 0.0000 0.0000 0.0000 5.4371" Properties=species:S:1:pos:R:3 pbc="T T T"
Ba 0.0000 0.0000 2.7185
Ba 0.0000 2.7185 0.0000
Ba 2.7185 0.0000 0.0000
Hf 2.7185 2.7185 2.7185
F 0.0000 0.0000 0.0000
```

Values from the calculation:
formation energy (no corrections) = -62.2 kJ per mole of atoms
DFT total energy = -37.617 eV per atom
size of the total moment = 0.0 μB per formula unit
SG = Pm-3m, No. 221
V = 32.15 Å³/atom
theoretical density = 6.30 g/cm³
crystal system = cubic

=====

(7)
First-principles (SCAN) data for a crystal of TlZnBr4 relaxed with PBEsol, as listed in the Alexandria database.

extended XYZ file:
```
6
Lattice="0.0000 4.4026 4.4026 4.4026 0.0000 4.4026 4.4026 4.4026 0.0000" Properties=species:S:1:pos:R:3 pbc="T T T"
Tl 0.0000 0.0000 0.0000
Zn 6.6039 6.6039 6.6039
Br 3.3098 3.3098 3.3098
Br 5.4954 5.4954 3.3098
Br 5.4954 3.3098 5.4954
Br 3.3098 5.4954 5.4954
```

Values from the calculation:
formation energy (no corrections) = 25.2 kJ per mole of atoms
DFT total energy = -27.024 eV per atom
size of the total moment = 2.1 μB per formula unit
SG = F-43m, No. 216
V = 28.45 Å³/atom
theoretical density = 5.73 g/cm³
crystal system = cubic

=====

(8)
First-principles (SCAN) data for a crystal of Al2AgCl relaxed with PBEsol, as listed in the Alexandria database.

extended XYZ file:
```
4
Lattice="-2.1074 2.1074 4.2078 2.1074 -2.1074 4.2078 2.1074 2.1074 -4.2078" Properties=species:S:1:pos:R:3 pbc="T T T"
Al 2.1074 0.0000 2.1039
Al 0.0000 2.1074 2.1039
Ag 0.0000 0.0000 0.0000
Cl 0.0000 0.0000 4.2078
```

Values from the calculation:
formation energy (no corrections) = 18.5 kJ per mole of atoms
DFT total energy = -13.521 eV per atom
size of the total moment = 0.0 μB per formula unit
SG = I4/mmm, No. 139
V = 18.69 Å³/atom
theoretical density = 4.38 g/cm³
crystal system = tetragonal

=====

(9)
First-principles (SCAN) data for a crystal of Re3Pd relaxed with PBEsol, as listed in the Alexandria database.

extended XYZ file:
```
8
Lattice="5.5042 0.0000 0.0000 -2.7521 4.7668 0.0000 0.0000 0.0000 4.3970" Properties=species:S:1:pos:R:3 pbc="T T T"
Re 0.0000 1.5361 1.0993
Re -1.4218 3.9988 1.0993
Re 1.3303 0.7680 3.2978
Re 1.4218 3.9988 1.0993
Re 4.1739 0.7680 3.2978
Re 2.7521 3.2307 3.2978
Pd 0.0000 3.1779 3.2978
Pd 2.7521 1.5889 1.0993
```

Values from the calculation:
DFT total energy = -61.591 eV per atom
formation energy = -0.075 eV per atom
size of the total moment = 0.0 μB per formula unit
SG = P6_3/mmc, No. 194
V = 14.42 Å³/atom
theoretical density = 19.14 g/cm³
crystal system = hexagonal

=====

(10)
First-principles (SCAN) data for a crystal of La3CdFe relaxed with PBEsol, as listed in the Alexandria database.

extended XYZ file:
```
5
Lattice="5.1849 0.0000 0.0000 0.0000 5.1849 0.0000 0.0000 0.0000 5.1849" Properties=species:S:1:pos:R:3 pbc="T T T"
La 0.0000 0.0000 2.5924
La 0.0000 2.5924 0.0000
La 2.5924 0.0000 0.0000
Cd 2.5924 2.5924 2.5924
Fe 0.0000 0.0000 0.0000
```

Values from the calculation:
DFT total energy = -35.654 eV per atom
formation energy = -0.082 eV per atom
size of the total moment = 0.0 μB per formula unit
SG = Pm-3m, No. 221
V = 27.88 Å³/atom
theoretical density = 6.97 g/cm³
crystal system = cubic

=====

Question: Look up the V of the eighth one.
Answer: 18.69 Å³/atom